# 1
This record from the Alexandria database describes a relaxed structure of Tb2PrTm2Sc2. The functional is PBE.

The structure belongs to space group C2/m (No. 12); the cell edges are 17.2292, 3.3857 and 8.2181 Å and the angles 90.00°, 116.69° and 90.00°. The distinct sites, in fractional coordinates, are Tb at (0.0730, 0.0000, 0.4179), Pr at (0.0000, 0.5000, 0.0000), Tm at (0.2128, 0.5000, 0.2925) and Sc at (0.1529, 0.0000, 0.8950).

Its size of the total moment is 0.0 μB/f.u. For the formation energy, the calculation gives 0.183 eV/atom.

# 2
This record from the Alexandria database describes a relaxed structure of Tb4PrY3Se8. The functional is PBE.

The structure belongs to space group R-3m (No. 166, hexagonal axes); the cell edges are 8.2349, 8.2349 and 20.1522 Å and the angles 90.00°, 90.00° and 120.00°. The distinct sites, in fractional coordinates, are Tb at (0.0000, 0.0000, 0.0000), Tb at (0.0000, 0.5000, 0.0000), Pr at (0.0000, 0.0000, 0.5000), Y at (0.0000, 0.5000, 0.5000), Se at (0.0000, 0.0000, 0.2497) and Se at (0.0072, 0.5036, 0.7485).

Its size of the total moment is 0.0 μB/f.u. As for the formation energy without anion corrections: -1771 meV per atom.

# 3
This record from the Alexandria database describes a relaxed structure of La2InSbPd6. The functional is PBE.

The structure belongs to space group P-1 (No. 2); the cell edges are 5.5601, 6.6355 and 6.9982 Å and the angles 109.80°, 102.30° and 108.54°. The distinct sites, in fractional coordinates, are La at (0.0121, 0.1589, 0.3083), In at (0.5000, 0.5000, 0.0000), Sb at (0.5000, 0.0000, 0.5000), Pd at (0.0261, 0.6073, 0.2433), Pd at (0.3411, 0.8531, 0.0649) and Pd at (0.4160, 0.6477, 0.6590).

Its size of the total moment is 0.0 μB/f.u. As for the formation energy without anion corrections: -664 meV per atom.